CoSiSe2: optimized geometry, PBE-GGA.

space-group type: C2/m (12)
raw formation energy: -0.171 eV/atom

a = 7.1388 Å, b = 7.1712 Å, c = 7.1712 Å
α = 152.04°, β = 151.97°, γ = 40.05°
Element x y z (fractional)
Se: 0.3849 0.3797 0.0052
Se: 0.1151 0.1203 0.9948
Co: 0.2500 0.7500 0.5000
Si: 0.7500 0.2500 0.5000

***

NaMnAlFe: optimized geometry, PBE-GGA.

space-group type: Pmm2 (25)
E_form: 0.33 eV per atom
ΔE to the lowest computed polymorph: 0.50 eV per formula unit

a = 2.7003 Å, b = 3.7167 Å, c = 6.7259 Å
α = 90.00°, β = 90.00°, γ = 90.00°
Element x y z (fractional)
Mn: 0.5000 0.0000 0.2152
Al: 0.0000 0.5000 0.4118
Na: 0.0000 0.5000 0.8904
Fe: 0.5000 0.0000 0.5771

***

| no. | M_tot (μB/atom) | DOS(E_F) (states/eV/atom) |
| --- | --- | --- |
| 1 | 0.10 | 0.526 |
| 2 | 1.38 | 0.625 |